1.
Material: SmTm5S6
Method: DFT, PBE
State: optimized geometry

Unit cell a=6.709 b=6.709 c=6.706 alpha=99.57 beta=99.57 gamma=120.24
Element x y z (fractional)
Sm  0.000  0.000  0.000
Tm  0.162  0.838  0.500
Tm  0.334  0.666  0.000
Tm  0.500  0.500  0.500
Tm  0.666  0.334  0.000
Tm  0.838  0.162  0.500
S  0.085  0.428  0.256
S  0.258  0.258  0.747
S  0.428  0.085  0.256
S  0.572  0.915  0.744
S  0.742  0.742  0.253
S  0.915  0.572  0.744

Its crystal system is monoclinic. The energy relative to the elements, uncorrected is -1.947 eV/atom. The space group is C2/m (12). The value obtained for the total energy is -75.203 eV/cell.

---

2.
Material: NbSe3F
Method: DFT, PBE
State: optimized geometry

Unit cell a=4.234 b=8.217 c=8.448 alpha=66.71 beta=75.83 gamma=75.77
Element x y z (fractional)
Nb  0.166  0.044  0.128
Nb  0.834  0.956  0.872
Se  0.026  0.733  0.698
Se  0.180  0.767  0.385
Se  0.353  0.778  0.008
Se  0.647  0.222  0.992
Se  0.820  0.233  0.615
Se  0.974  0.267  0.302
F  0.431  0.299  0.319
F  0.569  0.701  0.681

Its crystal system is triclinic. The energy relative to the elements, uncorrected is -0.622 eV/atom. For the offset from the most stable computed form, the calculation gives 0.0 meV per atom. The space group is P-1 (2). The value obtained for the total energy is -51.007 eV/cell.

---

- What is the energy relative to the elements, uncorrected in the second record?
  -0.622 eV/atom

---

- energy relative to the elements, uncorrected of number 2 (NbSe3F)?
  -0.622 eV/atom

---

- What is the energy relative to the elements, uncorrected in the first record?
  -1.947 eV/atom